{
  "formula": "CsRbAu",
  "functional": "PBE",
  "state": "optimized geometry",
  "e_form_mev_per_atom": -189,
  "volume_a3_per_cell": 158.8,
  "magmom_total_mub_per_fu": 0.68,
  "spacegroup": "F-43m",
  "de_polymorph_kcal_per_mol_atoms": 0.40,
  "lattice_angstrom": [[6.079, 0.000, 0.000], [3.039, 5.264, 0.000], [3.039, 1.755, 4.963]],
  "species": ["Cs", "Au", "Rb"],
  "fractional_positions": [[0.000, 0.000, 0.000], [0.250, 0.250, 0.250], [0.500, 0.500, 0.500]]
}

---

{
  "formula": "Cs6Rb23Au",
  "functional": "PBE",
  "state": "optimized geometry",
  "e_form_mev_per_atom": 5,
  "volume_a3_per_cell": 2802.2,
  "magmom_total_mub_per_fu": 0.00,
  "spacegroup": "Fm-3m",
  "lattice_angstrom": [[13.705, 0.000, 7.912], [4.568, 12.921, 7.912], [0.000, 0.000, 15.825]],
  "species": ["Rb", "Rb", "Rb", "Rb", "Rb", "Rb", "Rb", "Rb", "Rb", "Rb", "Rb", "Rb", "Rb", "Rb", "Rb", "Rb", "Rb", "Rb", "Rb", "Rb", "Rb", "Rb", "Rb", "Cs", "Cs", "Cs", "Cs", "Cs", "Cs", "Au"],
  "fractional_positions": [[0.118, 0.118, 0.646], [0.995, 0.668, 0.668], [0.646, 0.118, 0.118], [0.882, 0.882, 0.354], [0.000, 0.500, 0.000], [0.118, 0.646, 0.118], [0.000, 0.000, 0.000], [0.500, 0.000, 0.000], [0.668, 0.995, 0.668], [0.332, 0.332, 0.332], [0.668, 0.668, 0.995], [0.000, 0.000, 0.500], [0.500, 0.000, 0.500], [0.118, 0.118, 0.118], [0.668, 0.668, 0.668], [0.005, 0.332, 0.332], [0.882, 0.354, 0.882], [0.332, 0.332, 0.005], [0.500, 0.500, 0.000], [0.000, 0.500, 0.500], [0.882, 0.882, 0.882], [0.354, 0.882, 0.882], [0.332, 0.005, 0.332], [0.670, 0.330, 0.670], [0.330, 0.670, 0.670], [0.330, 0.330, 0.670], [0.670, 0.670, 0.330], [0.330, 0.670, 0.330], [0.670, 0.330, 0.330], [0.500, 0.500, 0.500]]
}

---

{
  "formula": "CsRb2Au2",
  "functional": "PBE",
  "state": "optimized geometry",
  "e_form_mev_per_atom": -232,
  "volume_a3_per_cell": 440.0,
  "magmom_total_mub_per_fu": 0.00,
  "spacegroup": "P4/mbm",
  "de_polymorph_kcal_per_mol_atoms": 0.00,
  "lattice_angstrom": [[9.815, 0.000, 0.000], [0.000, 9.815, 0.000], [0.000, 0.000, 4.568]],
  "species": ["Rb", "Rb", "Rb", "Rb", "Au", "Au", "Au", "Au", "Cs", "Cs"],
  "fractional_positions": [[0.139, 0.639, 0.500], [0.861, 0.361, 0.500], [0.639, 0.861, 0.500], [0.361, 0.139, 0.500], [0.156, 0.344, 0.000], [0.844, 0.656, 0.000], [0.344, 0.844, 0.000], [0.656, 0.156, 0.000], [0.000, 0.000, 0.000], [0.500, 0.500, 0.000]]
}

---

{
  "formula": "Cs5Rb4Au",
  "functional": "PBE",
  "state": "optimized geometry",
  "e_form_mev_per_atom": -75,
  "volume_a3_per_cell": 893.1,
  "magmom_total_mub_per_fu": 0.00,
  "spacegroup": "I4/m",
  "lattice_angstrom": [[7.413, 0.000, 0.000], [3.706, 10.977, 0.000], [3.706, 0.000, 10.977]],
  "species": ["Rb", "Rb", "Rb", "Rb", "Cs", "Cs", "Cs", "Cs", "Cs", "Au"],
  "fractional_positions": [[0.159, 0.342, 0.342], [0.843, 0.658, 0.658], [0.501, 0.342, 0.658], [0.501, 0.658, 0.342], [0.837, 0.328, 0.000], [0.501, 0.000, 0.000], [0.165, 0.672, 0.000], [0.165, 0.000, 0.672], [0.837, 0.000, 0.328], [0.001, 0.000, 0.000]]
}

---

{
  "formula": "CsRb12Au7",
  "functional": "PBE",
  "state": "optimized geometry",
  "e_form_mev_per_atom": -199,
  "volume_a3_per_cell": 1008.6,
  "magmom_total_mub_per_fu": 0.00,
  "spacegroup": "R-3",
  "lattice_angstrom": [[-4.297, 5.264, 2.648], [-2.408, -9.519, 8.319], [11.546, 5.615, 0.879]],
  "species": ["Rb", "Rb", "Rb", "Rb", "Rb", "Rb", "Rb", "Rb", "Rb", "Rb", "Rb", "Rb", "Cs", "Au", "Au", "Au", "Au", "Au", "Au", "Au"],
  "fractional_positions": [[0.448, 0.077, 0.292], [0.232, 0.530, 0.146], [0.768, 0.470, 0.854], [0.371, 0.215, 0.923], [0.087, 0.854, 0.384], [0.552, 0.923, 0.708], [0.629, 0.785, 0.077], [0.703, 0.616, 0.470], [0.156, 0.708, 0.785], [0.297, 0.384, 0.530], [0.913, 0.146, 0.616], [0.844, 0.292, 0.215], [0.000, 0.000, 0.000], [0.877, 0.238, 0.919], [0.639, 0.681, 0.762], [0.123, 0.762, 0.081], [0.957, 0.081, 0.319], [0.043, 0.919, 0.681], [0.361, 0.319, 0.238], [0.500, 0.000, 0.000]]
}

---

{
  "formula": "Cs6Rb8Au",
  "functional": "PBE",
  "state": "optimized geometry",
  "e_form_mev_per_atom": -36,
  "volume_a3_per_cell": 1376.8,
  "magmom_total_mub_per_fu": 0.00,
  "spacegroup": "R-3",
  "lattice_angstrom": [[-3.079, -5.848, 9.503], [0.667, -11.274, -2.538], [9.706, -4.042, 4.841]],
  "species": ["Rb", "Rb", "Rb", "Rb", "Rb", "Rb", "Rb", "Rb", "Cs", "Cs", "Cs", "Cs", "Cs", "Cs", "Au"],
  "fractional_positions": [[0.244, 0.244, 0.244], [0.756, 0.756, 0.756], [0.308, 0.030, 0.905], [0.095, 0.692, 0.970], [0.970, 0.095, 0.692], [0.905, 0.308, 0.030], [0.030, 0.905, 0.308], [0.692, 0.970, 0.095], [0.173, 0.457, 0.615], [0.543, 0.385, 0.827], [0.615, 0.173, 0.457], [0.827, 0.543, 0.385], [0.385, 0.827, 0.543], [0.457, 0.615, 0.173], [0.000, 0.000, 0.000]]
}